VASP calculation (PBE) on an optimized crystal structure of Er3Pu.

Calculated values
V: 113.0 Å³/f.u.
Polymorph energy (0 for the lowest one): 113 meV per atom
ΔH_f (0 K): 0.74 eV/f.u.

Geometry as CIF:
```
data_Er3Pu
_cell_length_a 11.1987
_cell_length_b 11.1648
_cell_length_c 3.6151
_cell_angle_alpha 90.00
_cell_angle_beta 90.00
_cell_angle_gamma 90.00
_space_group_name_H-M_alt 'C m c m'
_space_group_IT_number 63
_space_group_name_Hall '-C 2c 2'
loop_
_atom_site_label
_atom_site_type_symbol
_atom_site_fract_x
_atom_site_fract_y
_atom_site_fract_z
_atom_site_occupancy
Er1 Er 0.0000 0.1471 0.2500 1
Er2 Er 0.2330 0.3729 0.2500 1
Pu1 Pu 0.0000 0.4356 0.7500 1
```